Ce6Ge2Te3S: relaxed, PBE-GGA.

Lattice parameters (Å, degrees): 4.3099 8.7278 9.7583 104.58 102.76 90.00
Last column: nearest neighbours and their distance in Å.
Fractional coordinates of all 12 atoms:
Ce  0.3424  0.9076  0.6848  1 S 2.90, 2 Ge 2.97, 3 Te 3.17-3.20
Ce  0.6721  0.5693  0.3442  3 Ge 2.98-2.99, 3 Te 3.17
Ce  0.6576  0.0924  0.3152  1 S 2.90, 2 Ge 2.97, 3 Te 3.17-3.20
Ce  0.0039  0.2281  0.0077  2 S 2.92, 1 Ge 2.97, 3 Te 3.19-3.22
Ce  0.9961  0.7719  0.9923  2 S 2.92, 1 Ge 2.97, 3 Te 3.19-3.22
Ce  0.3279  0.4307  0.6558  3 Ge 2.98-2.99, 3 Te 3.17
Ge  0.8349  0.6698  0.6697  6 Ce 2.97-2.99
Ge  0.1651  0.3302  0.3303  6 Ce 2.97-2.99
Te  0.5000  0.5000  0.0000  6 Ce 3.17-3.22
Te  0.8315  0.1668  0.6630  6 Ce 3.17-3.20
Te  0.1685  0.8332  0.3370  6 Ce 3.17-3.20
S  0.5000  0.0000  0.0000  6 Ce 2.90-2.92

## Properties
formation energy without anion corrections = -1285.1 meV/atom
space group = C2/m (12)


BaFe2S4: relaxed, PBE-GGA.

Lattice parameters (Å, degrees): 5.7037 5.7037 7.7491 68.41 68.41 90.00
Last column: nearest neighbours and their distance in Å.
Fractional coordinates of all 7 atoms:
S  0.7517  0.7517  0.4966  1 Fe 2.06
S  0.2483  0.2483  0.5034  1 Fe 2.06
S  0.0000  0.5000  0.0000  2 Ba 2.85, 4 Fe 3.12
S  0.5000  0.0000  0.0000  2 Ba 2.85, 4 Fe 3.12
Ba  0.0000  0.0000  0.0000  4 S 2.85
Fe  0.5962  0.5962  0.8076  1 S 2.06
Fe  0.4038  0.4038  0.1924  1 S 2.06

## Properties
formation energy without anion corrections = 157.3 meV/atom
space group = I4/mmm (139)
offset from the most stable computed form = 1022 meV/atom


NaSn2As2: relaxed, PBE-GGA.

Lattice parameters (Å, degrees): 8.0050 8.0050 3.8520 90.00 90.00 90.00
Last column: nearest neighbours and their distance in Å.
Fractional coordinates of all 10 atoms:
Na  0.0000  0.0000  0.0000  4 As 3.05
Na  0.5000  0.5000  0.0000  4 As 3.05
As  0.3503  0.8503  0.0000  6 Sn 3.02-3.04, 2 Na 3.05
As  0.8503  0.6497  0.0000  6 Sn 3.02-3.04, 2 Na 3.05
As  0.6497  0.1497  0.0000  6 Sn 3.02-3.04, 2 Na 3.05
As  0.1497  0.3503  0.0000  6 Sn 3.02-3.04, 2 Na 3.05
Sn  0.1447  0.6447  0.5000  6 As 3.02-3.04, 1 Sn 3.28
Sn  0.6447  0.8553  0.5000  6 As 3.02-3.04, 1 Sn 3.28
Sn  0.8553  0.3553  0.5000  6 As 3.02-3.04, 1 Sn 3.28
Sn  0.3553  0.1447  0.5000  6 As 3.02-3.04, 1 Sn 3.28

## Properties
DFT formation energy = -0.069 eV per atom
space group = P4/mbm (127)
offset from the most stable computed form = 184 meV/atom


NdDy2In4: relaxed, PBE-GGA.

Lattice parameters (Å, degrees): 4.7272 4.7272 9.8247 103.92 103.92 90.00
Last column: nearest neighbours and their distance in Å.
Fractional coordinates of all 7 atoms:
In  0.3755  0.8755  0.7511  2 Nd 3.30, 4 Dy 3.30-3.32, 4 In 3.34
In  0.8755  0.3755  0.7511  2 Nd 3.30, 4 Dy 3.30-3.32, 4 In 3.34
In  0.6245  0.1245  0.2489  2 Nd 3.30, 4 Dy 3.30-3.32, 4 In 3.34
In  0.1245  0.6245  0.2489  2 Nd 3.30, 4 Dy 3.30-3.32, 4 In 3.34
Nd  0.0000  0.0000  0.0000  8 In 3.30
Dy  0.7508  0.7508  0.5016  8 In 3.30-3.32, 4 Dy 3.34
Dy  0.2492  0.2492  0.4984  8 In 3.30-3.32, 4 Dy 3.34

## Properties
DFT formation energy = -0.283 eV per atom
space group = I4/mmm (139)
offset from the most stable computed form = 0 meV/atom


Sm2BePd6Au: relaxed, PBE-GGA.

Lattice parameters (Å, degrees): 5.8805 7.1978 7.4375 45.81 67.80 90.60
Last column: nearest neighbours and their distance in Å.
Fractional coordinates of all 10 atoms:
Sm  0.7725  0.3405  0.4565  9 Pd 2.95-3.17, 1 Au 3.13
Sm  0.2275  0.6595  0.5435  9 Pd 2.95-3.17, 1 Au 3.13
Be  0.5000  0.5000  0.0000  6 Pd 2.13-2.17
Pd  0.2924  0.3385  0.4171  1 Be 2.13
Pd  0.8516  0.8051  0.8278  1 Be 2.17
Pd  0.3198  0.8047  0.8334  1 Be 2.17
Pd  0.6802  0.1953  0.1666  1 Be 2.17
Pd  0.1484  0.1949  0.1722  1 Be 2.17
Pd  0.7076  0.6615  0.5829  1 Be 2.13
Au  0.0000  0.0000  0.0000  6 Pd 2.69-2.79

## Properties
DFT formation energy = -0.581 eV per atom
space group = P-1 (2)


Tb2Be4PdPt3: relaxed, PBE-GGA.

Lattice parameters (Å, degrees): 4.0119 4.0119 9.5702 90.00 90.00 90.00
Last column: nearest neighbours and their distance in Å.
Fractional coordinates of all 10 atoms:
Tb  0.5000  0.0000  0.2473  6 Pt 3.06-3.14, 8 Be 3.08-3.10, 2 Pd 3.14
Tb  0.0000  0.5000  0.7527  6 Pt 3.06-3.14, 8 Be 3.08-3.10, 2 Pd 3.14
Be  0.5000  0.5000  0.0000  4 Pt 2.35
Be  0.0000  0.0000  0.0000  4 Pt 2.35
Be  0.5000  0.0000  0.6268  3 Pt 2.34-2.35, 2 Pd 2.34
Be  0.0000  0.5000  0.3732  3 Pt 2.34-2.35, 2 Pd 2.34
Pd  0.5000  0.5000  0.5000  4 Be 2.34
Pt  0.0000  0.0000  0.5000  4 Be 2.34
Pt  0.5000  0.0000  0.8723  5 Be 2.35
Pt  0.0000  0.5000  0.1277  5 Be 2.35

## Properties
DFT formation energy = -0.852 eV per atom
space group = P-4m2 (115)


CaFe2Ag: relaxed, PBE-GGA.

Lattice parameters (Å, degrees): 2.9255 2.9255 8.2648 90.00 90.00 90.02
Last column: nearest neighbours and their distance in Å.
Fractional coordinates of all 4 atoms:
Ca  0.5000  0.5000  0.7500  4 Ca 2.93, 8 Fe 3.08
Fe  0.0000  0.0000  0.0268  4 Ag 2.77, 4 Fe 2.93, 4 Ca 3.08
Fe  0.0000  0.0000  0.4732  4 Ag 2.77, 4 Fe 2.93, 4 Ca 3.08
Ag  0.5000  0.5000  0.2500  8 Fe 2.77, 4 Ag 2.93

## Properties
DFT formation energy = 0.620 eV per atom
space group = P4/mmm (123)


OsPdPt2: relaxed, PBE-GGA.

Lattice parameters (Å, degrees): 7.0632 7.0632 5.6824 51.57 51.57 90.00
Last column: nearest neighbours and their distance in Å.
Fractional coordinates of all 8 atoms:
Os  0.0000  0.0000  0.0000  4 Pt 2.50, 2 Pd 2.71
Os  0.7500  0.2500  0.5000  4 Pt 2.50, 2 Pd 2.71
Pd  0.5000  0.5000  0.0000  4 Pt 2.68, 2 Os 2.71
Pd  0.2500  0.7500  0.5000  4 Pt 2.68, 2 Os 2.71
Pt  0.6429  0.1250  0.2500  2 Os 2.50, 2 Pd 2.68, 2 Pt 2.72
Pt  0.1071  0.6250  0.2500  2 Os 2.50, 2 Pd 2.68, 2 Pt 2.72
Pt  0.3750  0.3571  0.7500  2 Os 2.50, 2 Pd 2.68, 2 Pt 2.72
Pt  0.8750  0.8929  0.7500  2 Os 2.50, 2 Pd 2.68, 2 Pt 2.72

## Properties
DFT formation energy = 0.586 eV per atom
space group = I-42d (122)
offset from the most stable computed form = 543 meV/atom


MnSbI2N: relaxed, PBE-GGA.

Lattice parameters (Å, degrees): 5.8088 5.8088 3.5994 90.00 90.00 90.00
Last column: nearest neighbours and their distance in Å.
Fractional coordinates of all 5 atoms:
I  0.0000  0.5000  0.0000  2 Mn 2.90
I  0.5000  0.0000  0.0000  2 Mn 2.90
Sb  0.5000  0.5000  0.5000  8 I 3.42, 2 Sb 3.60
Mn  0.0000  0.0000  0.0000  2 N 1.80
N  0.0000  0.0000  0.5000  2 Mn 1.80

## Properties
formation energy without anion corrections = 384.4 meV/atom
space group = P4/mmm (123)
offset from the most stable computed form = 0 meV/atom


Rb2CoCl4: relaxed, PBE-GGA.

Lattice parameters (Å, degrees): 7.3099 9.4347 13.0513 90.00 90.00 90.00
Last column: nearest neighbours and their distance in Å.
Fractional coordinates of all 28 atoms:
Rb  0.2500  0.3678  0.0783  8 Cl 3.38-3.73
Rb  0.7500  0.6322  0.9217  8 Cl 3.38-3.73
Rb  0.2500  0.8678  0.4217  8 Cl 3.38-3.73
Rb  0.7500  0.1322  0.5783  8 Cl 3.38-3.73
Rb  0.2500  0.0183  0.8232  7 Cl 3.32-3.46
Rb  0.7500  0.9817  0.1768  7 Cl 3.32-3.46
Rb  0.2500  0.5183  0.6768  7 Cl 3.32-3.46
Rb  0.7500  0.4817  0.3232  7 Cl 3.32-3.46
Co  0.2500  0.7724  0.0743  4 Cl 2.25-2.27
Co  0.7500  0.2276  0.9257  4 Cl 2.25-2.27
Co  0.2500  0.2724  0.4257  4 Cl 2.25-2.27
Co  0.7500  0.7276  0.5743  4 Cl 2.25-2.27
Cl  0.0000  0.3219  0.8511  1 Co 2.25
Cl  0.5000  0.6781  0.1489  1 Co 2.25
Cl  0.5000  0.8219  0.6489  1 Co 2.25
Cl  0.0000  0.1781  0.3511  1 Co 2.25
Cl  0.0000  0.6781  0.1489  1 Co 2.25
Cl  0.5000  0.3219  0.8511  1 Co 2.25
Cl  0.5000  0.1781  0.3511  1 Co 2.25
Cl  0.0000  0.8219  0.6489  1 Co 2.25
Cl  0.2500  0.6886  0.9113  1 Co 2.27
Cl  0.7500  0.3114  0.0887  1 Co 2.27
Cl  0.2500  0.1886  0.5887  1 Co 2.27
Cl  0.7500  0.8114  0.4113  1 Co 2.27
Cl  0.7500  0.4898  0.5864  1 Co 2.25
Cl  0.2500  0.5102  0.4136  1 Co 2.25
Cl  0.7500  0.9898  0.9136  1 Co 2.25
Cl  0.2500  0.0102  0.0864  1 Co 2.25

## Properties
formation energy without anion corrections = -1402.8 meV/atom
space group = Pnma (62)


Ca4CdGe2: relaxed, PBE-GGA.

Lattice parameters (Å, degrees): 5.1943 5.1943 8.9395 73.11 73.11 60.00
Last column: nearest neighbours and their distance in Å.
Fractional coordinates of all 7 atoms:
Ca  0.8727  0.8727  0.3820  4 Ge 3.07-3.19, 1 Cd 3.22
Ca  0.1273  0.1273  0.6180  4 Ge 3.07-3.19, 1 Cd 3.22
Ca  0.6216  0.6216  0.1353  4 Ge 3.16-3.27, 3 Cd 3.21
Ca  0.3784  0.3784  0.8647  4 Ge 3.16-3.27, 3 Cd 3.21
Ge  0.7510  0.7510  0.7469  8 Ca 3.07-3.27
Ge  0.2490  0.2490  0.2531  8 Ca 3.07-3.27
Cd  0.0000  0.0000  0.0000  8 Ca 3.21-3.22

## Properties
DFT formation energy = -0.527 eV per atom
space group = R-3m (166)


TcAsS3: relaxed, PBE-GGA.

Lattice parameters (Å, degrees): 4.7217 4.7217 4.7217 90.00 90.00 90.00
Last column: nearest neighbours and their distance in Å.
Fractional coordinates of all 5 atoms:
S  0.0000  0.5000  0.0000  2 As 2.36
S  0.0000  0.0000  0.5000  2 As 2.36
S  0.5000  0.0000  0.0000  2 As 2.36
As  0.0000  0.0000  0.0000  6 S 2.36
Tc  0.5000  0.5000  0.5000  12 S 3.34

## Properties
formation energy without anion corrections = 967.2 meV/atom
space group = Pm-3m (221)
offset from the most stable computed form = 480 meV/atom


YC3I: relaxed, PBE-GGA.

Lattice parameters (Å, degrees): 4.6726 4.6726 4.6726 90.00 90.00 90.00
Last column: nearest neighbours and their distance in Å.
Fractional coordinates of all 5 atoms:
I  0.5000  0.5000  0.5000  12 C 3.30
Y  0.0000  0.0000  0.0000  6 C 2.34
C  0.0000  0.5000  0.0000  2 Y 2.34
C  0.0000  0.0000  0.5000  2 Y 2.34
C  0.5000  0.0000  0.0000  2 Y 2.34

## Properties
formation energy without anion corrections = 2792.0 meV/atom
space group = Pm-3m (221)
offset from the most stable computed form = 471 meV/atom


Tm2ThS: relaxed, PBE-GGA.

Lattice parameters (Å, degrees): 3.5615 3.5615 10.2628 80.01 80.01 60.00
Last column: nearest neighbours and their distance in Å.
Fractional coordinates of all 4 atoms:
S  0.5000  0.5000  0.5000  6 Tm 2.65
Tm  0.1115  0.1115  0.6655  3 S 2.65
Tm  0.8885  0.8885  0.3345  3 S 2.65
Th  0.0000  0.0000  0.0000  2 Tm 3.36, 6 Th 3.56

## Properties
formation energy without anion corrections = -684.3 meV/atom
space group = R-3m (166)


La2AlRu: relaxed, PBE-GGA.

Lattice parameters (Å, degrees): 4.9293 4.9289 4.0159 90.00 90.00 90.00
Last column: nearest neighbours and their distance in Å.
Fractional coordinates of all 4 atoms:
Ru  0.5000  0.0000  0.5000  8 La 3.18, 4 Al 3.49
Al  0.0000  0.5000  0.5000  8 La 3.18, 4 Ru 3.49
La  0.0000  0.0000  0.0000  4 Al 3.18, 4 Ru 3.18, 4 La 3.49
La  0.5000  0.5000  0.0000  4 Ru 3.18, 4 Al 3.18, 4 La 3.49

## Properties
DFT formation energy = -0.173 eV per atom
space group = P4/mmm (123)


TiHSeI: relaxed, PBE-GGA.

Lattice parameters (Å, degrees): 3.5233 3.5233 7.5035 90.07 103.51 120.00
Last column: nearest neighbours and their distance in Å.
Fractional coordinates of all 4 atoms:
Ti  0.8290  0.2791  0.1081  3 H 2.04
H  0.5026  0.6158  0.1184  3 Ti 2.04
Se  0.0118  0.8699  0.8817  3 Ti 2.61, 3 H 2.66
I  0.3487  0.0397  0.3884  3 H 2.82, 3 Ti 2.87

## Properties
space group = Cm (8)
E = -19.041 eV per cell


CdBr: relaxed, PBE-GGA.

Lattice parameters (Å, degrees): 4.2518 23.1140 12.5526 90.00 90.00 90.00
Last column: nearest neighbours and their distance in Å.
Fractional coordinates of all 32 atoms:
Cd  0.0000  0.0000  0.3935  1 Cd 2.67, 2 Br 2.71
Cd  0.0000  0.0000  0.6065  1 Cd 2.67, 2 Br 2.71
Cd  0.2500  0.7500  0.8565  1 Cd 2.67, 2 Br 2.71
Cd  0.2500  0.7500  0.6435  1 Cd 2.67, 2 Br 2.71
Cd  0.0000  0.5000  0.8935  1 Cd 2.67, 2 Br 2.71
Cd  0.0000  0.5000  0.1065  1 Cd 2.67, 2 Br 2.71
Cd  0.2500  0.2500  0.3565  1 Cd 2.67, 2 Br 2.71
Cd  0.2500  0.2500  0.1435  1 Cd 2.67, 2 Br 2.71
Cd  0.5000  0.0000  0.8935  1 Cd 2.67, 2 Br 2.71
Cd  0.5000  0.0000  0.1065  1 Cd 2.67, 2 Br 2.71
Cd  0.7500  0.7500  0.3565  1 Cd 2.67, 2 Br 2.71
Cd  0.7500  0.7500  0.1435  1 Cd 2.67, 2 Br 2.71
Cd  0.5000  0.5000  0.3935  1 Cd 2.67, 2 Br 2.71
Cd  0.5000  0.5000  0.6065  1 Cd 2.67, 2 Br 2.71
Cd  0.7500  0.2500  0.8565  1 Cd 2.67, 2 Br 2.71
Cd  0.7500  0.2500  0.6435  1 Cd 2.67, 2 Br 2.71
Br  0.0000  0.8243  0.0000  2 Cd 2.71
Br  0.0000  0.1757  0.0000  2 Cd 2.71
Br  0.2500  0.9257  0.2500  2 Cd 2.71
Br  0.2500  0.5743  0.2500  2 Cd 2.71
Br  0.0000  0.3243  0.5000  2 Cd 2.71
Br  0.0000  0.6757  0.5000  2 Cd 2.71
Br  0.2500  0.4257  0.7500  2 Cd 2.71
Br  0.2500  0.0743  0.7500  2 Cd 2.71
Br  0.5000  0.8243  0.5000  2 Cd 2.71
Br  0.5000  0.1757  0.5000  2 Cd 2.71
Br  0.7500  0.9257  0.7500  2 Cd 2.71
Br  0.7500  0.5743  0.7500  2 Cd 2.71
Br  0.5000  0.3243  0.0000  2 Cd 2.71
Br  0.5000  0.6757  0.0000  2 Cd 2.71
Br  0.7500  0.4257  0.2500  2 Cd 2.71
Br  0.7500  0.0743  0.2500  2 Cd 2.71

## Properties
formation energy without anion corrections = -558.6 meV/atom
space group = Fddd (70)


PrClF: relaxed, PBE-GGA.

Lattice parameters (Å, degrees): 3.4248 3.4248 5.5453 107.99 107.99 90.00
Last column: nearest neighbours and their distance in Å.
Fractional coordinates of all 3 atoms:
Pr  0.6919  0.6919  0.3838  4 F 2.63
Cl  0.0138  0.0138  0.0276  1 F 2.80, 4 Pr 3.00
F  0.2943  0.2943  0.5886  4 Pr 2.63, 1 Cl 2.80

## Properties
formation energy without anion corrections = -2550.7 meV/atom
space group = I4mm (107)
offset from the most stable computed form = 89 meV/atom


Pr4TlSe3: relaxed, PBE-GGA.

Lattice parameters (Å, degrees): 6.1534 6.1534 7.5297 114.11 114.11 90.00
Last column: nearest neighbours and their distance in Å.
Fractional coordinates of all 8 atoms:
Pr  0.0000  0.5000  0.0000  4 Se 3.07-3.08, 2 Tl 3.08
Pr  0.5000  0.0000  0.0000  4 Se 3.07-3.08, 2 Tl 3.08
Pr  0.2561  0.2561  0.5122  5 Se 3.00-3.08, 1 Tl 3.15
Pr  0.7439  0.7439  0.4878  5 Se 3.00-3.08, 1 Tl 3.15
Tl  0.0000  0.0000  0.0000  6 Pr 3.08-3.15
Se  0.5000  0.5000  0.0000  6 Pr 3.00-3.08
Se  0.7500  0.2500  0.5000  6 Pr 3.07-3.08
Se  0.2500  0.7500  0.5000  6 Pr 3.07-3.08

## Properties
formation energy without anion corrections = -1489.9 meV/atom
space group = I4/mmm (139)


HfZr2Ti3N6: relaxed, PBE-GGA.

Lattice parameters (Å, degrees): 5.4460 5.4460 5.4030 99.59 99.59 120.13
Last column: nearest neighbours and their distance in Å.
Fractional coordinates of all 12 atoms:
Hf  0.0000  0.0000  0.0000  6 N 2.23-2.24
Zr  0.3330  0.6670  0.0000  6 N 2.27-2.28
Zr  0.6670  0.3330  0.0000  6 N 2.27-2.28
Ti  0.1672  0.8328  0.5000  6 N 2.16-2.20
Ti  0.8328  0.1672  0.5000  6 N 2.16-2.20
Ti  0.5000  0.5000  0.5000  6 N 2.16-2.20
N  0.9117  0.5845  0.7350  3 Ti 2.16-2.20, 1 Hf 2.24, 2 Zr 2.27
N  0.7610  0.7610  0.2639  3 Ti 2.17-2.20, 1 Hf 2.23, 2 Zr 2.28
N  0.0883  0.4155  0.2650  3 Ti 2.16-2.20, 1 Hf 2.24, 2 Zr 2.27
N  0.5845  0.9117  0.7350  3 Ti 2.16-2.20, 1 Hf 2.24, 2 Zr 2.27
N  0.2390  0.2390  0.7361  3 Ti 2.17-2.20, 1 Hf 2.23, 2 Zr 2.28
N  0.4155  0.0883  0.2650  3 Ti 2.16-2.20, 1 Hf 2.24, 2 Zr 2.27

## Properties
formation energy without anion corrections = -1676.0 meV/atom
space group = C2/m (12)